# 1
BePbAu2: single point on PBEsol structure, SCAN.

Summary:
* symmetry: Pm, No. 6
* offset from the most stable computed form: 32.4 meV per atom
* D(E_F): 1.3 states/eV/cell

abc: 3.1631 3.6096 6.6085
angles: 90.00 90.37 90.00
Last column: nearest neighbours and their distance in Å.
Positions (direct):
Be: 0.0000 0.0000 0.0000  6 Au 2.38-2.44
Pb: 0.9948 0.5000 0.4547  6 Au 3.01-3.05, 2 Pb 3.16
Au: 0.4966 0.0000 0.7315  2 Be 2.38
Au: 0.5010 0.5000 0.0643  4 Be 2.44


# 2
Tl2PbAu: single point on PBEsol structure, SCAN.

Summary:
* calculated total energy: -72.323 eV per atom
* symmetry: F-43m, No. 216
* D(E_F): 2.0 states/eV/cell

abc: 5.2116 5.2116 5.2116
angles: 60.00 60.00 60.00
Last column: nearest neighbours and their distance in Å.
Positions (direct):
Tl: 0.0000 0.0000 0.0000  4 Au 3.19, 4 Tl 3.19
Tl: 0.2500 0.2500 0.2500  4 Pb 3.19, 4 Tl 3.19
Pb: 0.5000 0.5000 0.5000  4 Tl 3.19, 4 Au 3.19
Au: 0.7500 0.7500 0.7500  4 Pb 3.19, 4 Tl 3.19


# 3
Ca2LaBe: single point on PBEsol structure, SCAN.

Summary:
* calculated total energy: -16.537 eV per atom
* symmetry: P4mm, No. 99
* D(E_F): 3.3 states/eV/cell

abc: 3.5611 3.5611 9.5081
angles: 90.00 90.00 90.00
Last column: nearest neighbours and their distance in Å.
Positions (direct):
Ca: 0.0000 0.0000 0.0000  4 Be 3.05, 1 La 3.40
Ca: 0.5000 0.5000 0.3230  8 Ca 3.56-3.97, 4 La 3.94
La: 0.0000 0.0000 0.6420  4 Be 3.03
Be: 0.5000 0.5000 0.8188  4 La 3.03, 4 Ca 3.05


# 4
Ba2Sb2Te: single point on PBEsol structure, SCAN.

Summary:
* symmetry: I4/mmm, No. 139
* D(E_F): 1.2 states/eV/cell
* formation energy without anion corrections: -1.232 eV/atom

abc: 9.8653 9.8653 9.8653
angles: 154.44 154.44 36.46
Last column: nearest neighbours and their distance in Å.
Positions (direct):
Ba: 0.1009 0.1009 0.0000  4 Sb 3.55, 4 Te 3.62, 1 Ba 3.78
Ba: 0.8991 0.8991 0.0000  4 Sb 3.55, 4 Te 3.62, 1 Ba 3.78
Sb: 0.2500 0.7500 0.5000  4 Sb 3.09
Sb: 0.7500 0.2500 0.5000  4 Sb 3.09
Te: 0.5000 0.5000 0.0000  8 Ba 3.62


# 5
CsVN2: single point on PBEsol structure, SCAN.

Summary:
* symmetry: Fd-3m, No. 227
* formation energy without anion corrections: -0.996 eV/atom

abc: 5.8597 5.8597 5.8597
angles: 60.00 60.00 60.00
Last column: nearest neighbours and their distance in Å.
Positions (direct):
Cs: 0.1250 0.1250 0.1250  12 N 3.44, 4 V 3.59, 4 Cs 3.59
Cs: 0.8750 0.8750 0.8750  12 N 3.44, 4 Cs 3.59, 4 V 3.59
V: 0.3750 0.3750 0.3750  4 N 1.79
V: 0.6250 0.6250 0.6250  4 N 1.79
N: 0.0000 0.5000 0.5000  2 V 1.79
N: 0.5000 0.0000 0.5000  2 V 1.79
N: 0.5000 0.5000 0.0000  2 V 1.79
N: 0.5000 0.5000 0.5000  2 V 1.79


# 6
Sr2CdPt2: single point on PBEsol structure, SCAN.

Summary:
* calculated total energy: -43.929 eV per atom
* symmetry: Immm, No. 71
* D(E_F): 2.1 states/eV/cell

abc: 5.8587 5.8587 5.8587
angles: 134.60 119.68 78.62
Last column: nearest neighbours and their distance in Å.
Positions (direct):
Sr: 0.2010 0.2010 0.0000  6 Pt 3.15-3.20, 2 Cd 3.46
Sr: 0.7990 0.7990 0.0000  6 Pt 3.15-3.20, 2 Cd 3.46
Cd: 0.5000 0.0000 0.5000  4 Pt 2.77
Pt: 0.2272 0.5000 0.7272  1 Pt 2.68, 2 Cd 2.77
Pt: 0.7728 0.5000 0.2728  1 Pt 2.68, 2 Cd 2.77


# 7
Co6IrRh: single point on PBEsol structure, SCAN.

Summary:
* calculated total energy: -26.070 eV per atom
* symmetry: Cmmm, No. 65
* D(E_F): 25.4 states/eV/cell

abc: 6.1666 6.1666 10.0539
angles: 90.00 90.00 109.42
Last column: nearest neighbours and their distance in Å.
Positions (direct):
Co: 0.0000 0.0000 0.0000  8 Co 2.51, 4 Ir 2.52-2.53
Co: 0.0000 0.0000 0.5000  2 Ir 2.51, 8 Co 2.52, 2 Rh 2.52
Co: 0.1248 0.3746 0.1249  8 Co 2.51-2.52, 3 Ir 2.51-2.52, 1 Rh 2.52
Co: 0.1248 0.3750 0.3751  8 Co 2.51-2.52, 3 Rh 2.51-2.52, 1 Ir 2.52
Co: 0.1248 0.3750 0.6249  8 Co 2.51-2.52, 3 Rh 2.51-2.52, 1 Ir 2.52
Co: 0.1248 0.3746 0.8751  8 Co 2.51-2.52, 3 Ir 2.51-2.52, 1 Rh 2.52
Co: 0.2501 0.7499 0.2501  2 Rh 2.51-2.52, 2 Ir 2.51-2.52, 8 Co 2.52
Co: 0.2501 0.7499 0.7499  2 Rh 2.51-2.52, 2 Ir 2.51-2.52, 8 Co 2.52
Co: 0.3746 0.1248 0.1249  8 Co 2.51-2.52, 3 Ir 2.51-2.52, 1 Rh 2.52
Co: 0.3750 0.1248 0.3751  8 Co 2.51-2.52, 3 Rh 2.51-2.52, 1 Ir 2.52
Co: 0.3750 0.1248 0.6249  8 Co 2.51-2.52, 3 Rh 2.51-2.52, 1 Ir 2.52
Co: 0.3746 0.1248 0.8751  8 Co 2.51-2.52, 3 Ir 2.51-2.52, 1 Rh 2.52
Co: 0.5000 0.5000 0.0000  2 Ir 2.51, 2 Rh 2.52, 8 Co 2.52
Co: 0.5000 0.5000 0.5000  4 Rh 2.51, 8 Co 2.52
Co: 0.6254 0.8752 0.1249  8 Co 2.51-2.52, 3 Ir 2.51-2.52, 1 Rh 2.52
Co: 0.6250 0.8752 0.3751  8 Co 2.51-2.52, 3 Rh 2.51-2.52, 1 Ir 2.52
Co: 0.6250 0.8752 0.6249  8 Co 2.51-2.52, 3 Rh 2.51-2.52, 1 Ir 2.52
Co: 0.6254 0.8752 0.8751  8 Co 2.51-2.52, 3 Ir 2.51-2.52, 1 Rh 2.52
Co: 0.7499 0.2501 0.2501  2 Rh 2.51-2.52, 2 Ir 2.51-2.52, 8 Co 2.52
Co: 0.7499 0.2501 0.7499  2 Rh 2.51-2.52, 2 Ir 2.51-2.52, 8 Co 2.52
Co: 0.8752 0.6254 0.1249  8 Co 2.51-2.52, 3 Ir 2.51-2.52, 1 Rh 2.52
Co: 0.8752 0.6250 0.3751  8 Co 2.51-2.52, 3 Rh 2.51-2.52, 1 Ir 2.52
Co: 0.8752 0.6250 0.6249  8 Co 2.51-2.52, 3 Rh 2.51-2.52, 1 Ir 2.52
Co: 0.8752 0.6254 0.8751  8 Co 2.51-2.52, 3 Ir 2.51-2.52, 1 Rh 2.52
Ir: 0.0000 0.0000 0.2504  12 Co 2.51-2.52
Ir: 0.0000 0.0000 0.7496  12 Co 2.51-2.52
Ir: 0.2511 0.7489 0.0000  12 Co 2.51-2.53
Ir: 0.7489 0.2511 0.0000  12 Co 2.51-2.53
Rh: 0.2508 0.7492 0.5000  12 Co 2.51-2.52
Rh: 0.5000 0.5000 0.2504  12 Co 2.51-2.52
Rh: 0.5000 0.5000 0.7496  12 Co 2.51-2.52
Rh: 0.7492 0.2508 0.5000  12 Co 2.51-2.52


# 8
YSc2Re: single point on PBEsol structure, SCAN.

Summary:
* symmetry: Imm2, No. 44
* offset from the most stable computed form: 0.0 meV per atom
* D(E_F): 5.2 states/eV/cell

abc: 5.8405 5.8405 5.8405
angles: 145.47 130.35 61.88
Last column: nearest neighbours and their distance in Å.
Positions (direct):
Y: 0.0000 0.0000 0.0000  2 Re 2.82, 4 Sc 3.11
Sc: 0.4182 0.4182 0.0000  2 Re 2.62
Sc: 0.7122 0.2122 0.5000  4 Re 3.00, 2 Sc 3.20, 4 Y 3.25-3.36
Re: 0.2221 0.7221 0.5000  2 Sc 2.62, 2 Y 2.82


# 9
K4Na4NbW7O24: single point on PBEsol structure, SCAN.

Summary:
* symmetry: P4mm, No. 99
* D(E_F): 7.1 states/eV/cell
* formation energy without anion corrections: -2.305 eV/atom

abc: 7.8293 7.8293 7.8262
angles: 90.00 90.00 90.00
Last column: nearest neighbours and their distance in Å.
Positions (direct):
K: 0.2492 0.2492 0.0000  12 O 2.76-2.80
K: 0.2492 0.7508 0.0000  12 O 2.76-2.80
K: 0.7508 0.2492 0.0000  12 O 2.76-2.80
K: 0.7508 0.7508 0.0000  12 O 2.76-2.80
Na: 0.2460 0.2460 0.4952  12 O 2.70-2.81
Na: 0.2460 0.7540 0.4952  12 O 2.70-2.81
Na: 0.7540 0.2460 0.4952  12 O 2.70-2.81
Na: 0.7540 0.7540 0.4952  12 O 2.70-2.81
Nb: 0.0000 0.0000 0.2508  6 O 1.98-2.01
W: 0.0000 0.0000 0.7474  6 O 1.91-1.96
W: 0.0000 0.5000 0.2514  6 O 1.92-1.97
W: 0.0000 0.5000 0.7471  6 O 1.94-1.97
W: 0.5000 0.0000 0.2514  6 O 1.92-1.97
W: 0.5000 0.0000 0.7471  6 O 1.94-1.97
W: 0.5000 0.5000 0.2515  6 O 1.94-1.97
W: 0.5000 0.5000 0.7468  6 O 1.94-1.98
O: 0.0000 0.0000 0.5036  1 W 1.91, 1 Nb 1.98
O: 0.0000 0.0000 0.9939  1 W 1.93, 1 Nb 2.01
O: 0.0000 0.2502 0.7450  2 W 1.96
O: 0.0000 0.2549 0.2541  1 W 1.92, 1 Nb 2.00
O: 0.0000 0.5000 0.4995  2 W 1.94
O: 0.0000 0.5000 0.9991  2 W 1.97
O: 0.0000 0.7451 0.2541  1 W 1.92, 1 Nb 2.00
O: 0.0000 0.7498 0.7450  2 W 1.96
O: 0.2502 0.0000 0.7450  2 W 1.96
O: 0.2502 0.5000 0.2535  2 W 1.96
O: 0.2500 0.5000 0.7451  2 W 1.96
O: 0.2549 0.0000 0.2541  1 W 1.92, 1 Nb 2.00
O: 0.5000 0.0000 0.4995  2 W 1.94
O: 0.5000 0.0000 0.9991  2 W 1.97
O: 0.5000 0.2502 0.2535  2 W 1.96
O: 0.5000 0.2500 0.7451  2 W 1.96
O: 0.5000 0.5000 0.4992  2 W 1.94
O: 0.5000 0.5000 0.9992  2 W 1.97-1.98
O: 0.5000 0.7498 0.2535  2 W 1.96
O: 0.5000 0.7500 0.7451  2 W 1.96
O: 0.7451 0.0000 0.2541  1 W 1.92, 1 Nb 2.00
O: 0.7498 0.0000 0.7450  2 W 1.96
O: 0.7498 0.5000 0.2535  2 W 1.96
O: 0.7500 0.5000 0.7451  2 W 1.96


# 10
Li8CoO6: single point on PBEsol structure, SCAN.

Summary:
* symmetry: P6_3cm, No. 185
* formation energy without anion corrections: -1.890 eV/atom

abc: 5.4637 5.4637 10.7348
angles: 90.00 90.00 120.00
Last column: nearest neighbours and their distance in Å.
Positions (direct):
Li: 0.0000 0.3115 0.0000  4 O 1.94-2.02
Li: 0.0000 0.3897 0.6412  4 O 1.94-2.17
Li: 0.0000 0.6103 0.1412  4 O 1.94-2.17
Li: 0.0000 0.6885 0.5000  4 O 1.94-2.02
Li: 0.3115 0.0000 0.0000  4 O 1.94-2.02
Li: 0.3115 0.3115 0.5000  4 O 1.94-2.02
Li: 0.3333 0.6667 0.3612  4 O 1.93-2.04
Li: 0.3333 0.6667 0.8612  4 O 1.93-2.04
Li: 0.3897 0.0000 0.6412  4 O 1.94-2.17
Li: 0.3897 0.3897 0.1412  4 O 1.94-2.17
Li: 0.6103 0.0000 0.1412  4 O 1.94-2.17
Li: 0.6103 0.6103 0.6412  4 O 1.94-2.17
Li: 0.6667 0.3333 0.3612  4 O 1.93-2.04
Li: 0.6667 0.3333 0.8612  4 O 1.93-2.04
Li: 0.6885 0.0000 0.5000  4 O 1.94-2.02
Li: 0.6885 0.6885 0.0000  4 O 1.94-2.02
Co: 0.0000 0.0000 0.2721  4 O 1.78-1.84
Co: 0.0000 0.0000 0.7721  4 O 1.78-1.84
O: 0.0000 0.0000 0.1009  1 Co 1.84, 3 Li 2.02
O: 0.0000 0.0000 0.6009  1 Co 1.84, 3 Li 2.02
O: 0.0000 0.3134 0.8191  1 Co 1.78, 4 Li 1.93-1.95
O: 0.0000 0.6866 0.3191  1 Co 1.78, 4 Li 1.93-1.95
O: 0.3134 0.0000 0.8191  1 Co 1.78, 4 Li 1.93-1.95
O: 0.3134 0.3134 0.3191  1 Co 1.78, 4 Li 1.93-1.95
O: 0.3333 0.6667 0.0514  7 Li 1.94-2.04
O: 0.3333 0.6667 0.5514  7 Li 1.94-2.04
O: 0.6667 0.3333 0.0514  7 Li 1.94-2.04
O: 0.6667 0.3333 0.5514  7 Li 1.94-2.04
O: 0.6866 0.0000 0.3191  1 Co 1.78, 4 Li 1.93-1.95
O: 0.6866 0.6866 0.8191  1 Co 1.78, 4 Li 1.93-1.95


# 11
LiMo3: single point on PBEsol structure, SCAN.

Summary:
* symmetry: P-6m2, No. 187
* offset from the most stable computed form: 227.9 meV per atom
* D(E_F): 3.3 states/eV/cell

abc: 2.7084 2.7084 9.7951
angles: 90.00 90.00 120.00
Last column: nearest neighbours and their distance in Å.
Positions (direct):
Li: 0.0000 0.0000 0.0000  6 Li 2.71, 6 Mo 2.95
Mo: 0.0000 0.0000 0.5000  12 Mo 2.71-2.86
Mo: 0.3333 0.6667 0.2553  9 Mo 2.71-2.86, 3 Li 2.95
Mo: 0.3333 0.6667 0.7447  9 Mo 2.71-2.86, 3 Li 2.95


# 12
KTlAu2: single point on PBEsol structure, SCAN.

Summary:
* symmetry: C2/m, No. 12
* offset from the most stable computed form: 84.5 meV per atom
* D(E_F): 1.4 states/eV/cell

abc: 4.8337 4.8337 6.3393
angles: 112.33 112.33 60.01
Last column: nearest neighbours and their distance in Å.
Positions (direct):
K: 0.0000 0.0000 0.0000  2 Au 3.20
Tl: 0.5000 0.5000 0.5000  6 Au 2.81
Au: 0.1874 0.1874 0.5624  3 Tl 2.81, 3 Au 2.88
Au: 0.8126 0.8126 0.4376  3 Tl 2.81, 3 Au 2.88


no.,total magnetic moment (μB per atom)
1,0.00
2,0.00
3,0.08
4,0.00
5,0.00
6,0.00
7,1.66
8,0.00
9,0.00
10,0.33
11,0.00
12,0.00